1.
Entry from Alexandria: a relaxed DyHoEr2Th crystal (PBE).

Computed properties:
The value obtained for the total energy is -4.766 eV/atom. The formation enthalpy at 0 K is 0.379 eV/atom.

```
10
Lattice="8.3008 0.0000 0.0000 0.0000 6.1805 0.0000 -1.0628 0.0000 6.6151" Properties=species:S:1:pos:R:3 pbc="T T T"
Dy 0.0000 0.0000 0.0000
Dy -0.5314 0.0000 3.3075
Ho 3.8847 0.7805 1.6538
Ho 3.3533 5.4000 4.9613
Er 2.0660 2.3305 4.0439
Er 2.5974 3.8500 0.7363
Er 4.6405 2.3305 5.8788
Er 5.1719 3.8500 2.5712
Th -0.2657 2.8404 1.6538
Th -0.7971 3.3401 4.9613
```



2.
Entry from Alexandria: a relaxed Dy6Ho2ErTh crystal (PBE).

Computed properties:
The value obtained for the total energy is -4.725 eV/atom. The formation enthalpy at 0 K is 0.150 eV/atom.

```
20
Lattice="4.6264 -7.4703 0.0000 4.6264 7.4703 0.0000 -0.7535 0.0000 9.2282" Properties=species:S:1:pos:R:3 pbc="T T T"
Dy 2.5266 4.1671 1.7270
Dy 3.6904 4.8357 5.1638
Dy 4.4322 4.8357 8.6785
Dy 3.4375 1.7257 3.5951
Dy 6.3495 4.1671 2.8871
Dy 5.4386 1.7257 1.0190
Dy 3.0608 -1.7257 8.2092
Dy 2.1499 -4.1671 6.3412
Dy 5.0619 -1.7257 5.6332
Dy 4.0672 -4.8357 0.5497
Dy 4.8090 -4.8357 4.0644
Dy 5.9728 -4.1671 7.5012
Ho 2.3148 0.7754 0.5058
Ho 1.9380 -0.7754 5.1199
Ho 6.5614 0.7754 4.1083
Ho 6.1846 -0.7754 8.7224
Er 4.0613 1.2995 6.9212
Er 4.4381 -1.2995 2.3071
Th 4.4381 6.9607 2.3071
Th 4.0613 -6.9607 6.9212
```



3.
Entry from Alexandria: a relaxed Dy2Ho6ErTh crystal (PBE).

Computed properties:
The value obtained for the total energy is -4.714 eV/atom. The formation enthalpy at 0 K is 0.151 eV/atom.

```
20
Lattice="4.6127 -7.4861 0.0000 4.6127 7.4861 0.0000 -0.7061 0.0000 9.1863" Properties=species:S:1:pos:R:3 pbc="T T T"
Dy 1.9459 0.7915 4.0841
Dy 1.5929 -0.7915 8.6773
Dy 6.9264 0.7915 0.5091
Dy 6.5733 -0.7915 5.1022
Ho 3.0806 5.7481 8.1847
Ho 2.1768 3.3152 6.3162
Ho 5.0855 5.7481 5.5948
Ho 4.0698 2.6545 0.5514
Ho 4.8026 2.6545 4.0418
Ho 5.9894 3.3152 7.4632
Ho 2.5299 -3.3152 1.7231
Ho 3.7167 -2.6545 5.1445
Ho 4.4495 -2.6545 8.6350
Ho 3.4337 -5.7481 3.5915
Ho 6.3424 -3.3152 2.8701
Ho 5.4386 -5.7481 1.0016
Er 4.4362 6.1935 2.2966
Er 4.0831 -6.1935 6.8897
Th 4.0831 0.5162 6.8897
Th 4.4362 -0.5162 2.2966
```



4.
Entry from Alexandria: a relaxed DyHo2Er2Th crystal (PBE).

Computed properties:
The value obtained for the total energy is -4.879 eV/atom. The formation enthalpy at 0 K is 0.171 eV/atom.

```
12
Lattice="6.4155 0.0000 0.0000 0.0000 6.7527 0.0000 -0.9233 0.0000 8.7973" Properties=species:S:1:pos:R:3 pbc="T T T"
Dy 0.9823 1.6882 1.5012
Dy 4.5099 5.0645 7.2961
Ho 1.2751 6.7511 7.3844
Ho 1.2751 3.3779 7.3844
Ho 4.2171 0.0016 1.4129
Ho 4.2171 3.3748 1.4129
Er -0.0062 1.6882 4.6944
Er 2.2888 5.0645 4.4919
Er 3.2034 1.6882 4.3054
Er 5.4983 5.0645 4.1029
Th 1.0882 5.0645 1.3722
Th 4.4039 1.6882 7.4251
```



5.
Entry from Alexandria: a relaxed Dy6HoEr3Th2 crystal (PBE).

Computed properties:
The value obtained for the total energy is -5.034 eV/atom. The formation enthalpy at 0 K is 0.026 eV/atom.

```
12
Lattice="3.0685 -5.3095 0.0000 3.0685 5.3095 0.0000 -2.0466 0.0000 11.5538" Properties=species:S:1:pos:R:3 pbc="T T T"
Dy -0.0127 1.7852 8.6778
Dy 1.0053 0.0000 2.8794
Dy -0.0127 -1.7852 8.6778
Dy 4.1030 1.7852 2.8759
Dy 3.0850 0.0000 8.6744
Dy 4.1030 -1.7852 2.8759
Ho 3.0685 0.0000 0.0000
Er -1.0233 0.0000 5.7769
Er 2.0452 1.7676 5.7769
Er 2.0452 -1.7676 5.7769
Th 3.0685 3.5402 0.0000
Th 3.0685 -3.5402 0.0000
```



6.
Entry from Alexandria: a relaxed DyHo4Er2Th crystal (PBE).

Computed properties:
The value obtained for the total energy is -4.902 eV/atom. The formation enthalpy at 0 K is 0.031 eV/atom.

```
8
Lattice="4.9998 0.0000 0.0000 0.0000 4.9998 0.0000 0.0000 0.0000 9.9663" Properties=species:S:1:pos:R:3 pbc="T T T"
Dy 0.0000 0.0000 0.0000
Ho 0.0000 2.4999 2.5029
Ho 0.0000 2.4999 7.4634
Ho 2.4999 0.0000 2.5029
Ho 2.4999 0.0000 7.4634
Er 0.0000 0.0000 4.9831
Er 2.4999 2.4999 0.0000
Th 2.4999 2.4999 4.9831
```



7.
Entry from Alexandria: a relaxed Dy6Ho3Er2Th crystal (PBE).

Computed properties:
The value obtained for the total energy is -4.800 eV/atom. The formation enthalpy at 0 K is 0.024 eV/atom.

```
12
Lattice="3.0635 -5.3029 0.0000 3.0635 5.3029 0.0000 -2.0407 0.0000 11.5575" Properties=species:S:1:pos:R:3 pbc="T T T"
Dy -0.0040 1.7525 8.6633
Dy 0.9996 0.0000 2.8959
Dy -0.0040 -1.7525 8.6633
Dy 4.0903 1.7525 2.8943
Dy 3.0867 0.0000 8.6616
Dy 4.0903 -1.7525 2.8943
Ho 3.0635 3.5288 0.0000
Ho 3.0635 0.0000 0.0000
Ho 3.0635 -3.5288 0.0000
Er 2.0431 1.7685 5.7788
Er 2.0431 -1.7685 5.7788
Th -1.0203 0.0000 5.7788
```



8.
Entry from Alexandria: a relaxed Dy5Ho2ErTh crystal (PBE).

Computed properties:
The value obtained for the total energy is -4.743 eV/atom. The formation enthalpy at 0 K is 0.162 eV/atom.

```
18
Lattice="2.8383 -10.7393 0.0000 2.8383 10.7393 0.0000 0.0000 0.0000 9.6467" Properties=species:S:1:pos:R:3 pbc="T T T"
Dy 2.8383 10.4289 4.8234
Dy 2.8383 4.9141 7.7835
Dy 2.8383 4.2043 1.9333
Dy 2.8383 2.1900 5.0640
Dy 2.8383 0.6664 2.1807
Dy 2.8383 -0.6664 7.0040
Dy 2.8383 -2.1900 0.2406
Dy 2.8383 -4.2043 6.7566
Dy 2.8383 -4.9141 2.9601
Dy 2.8383 -10.4289 0.0000
Ho 2.8383 8.2583 7.8289
Ho 2.8383 7.9585 1.8691
Ho 2.8383 -7.9585 6.6925
Ho 2.8383 -8.2583 3.0055
Er 2.8383 6.6720 4.8221
Er 2.8383 -6.6720 9.6455
Th 2.8383 2.0481 8.7380
Th 2.8383 -2.0481 3.9147
```



9.
Entry from Alexandria: a relaxed Dy5HoEr2Th crystal (PBE).

Computed properties:
The value obtained for the total energy is -4.742 eV/atom. The formation enthalpy at 0 K is 0.162 eV/atom.

```
18
Lattice="2.8374 -10.7323 0.0000 2.8374 10.7323 0.0000 0.0000 0.0000 9.6393" Properties=species:S:1:pos:R:3 pbc="T T T"
Dy 2.8374 10.4247 4.8196
Dy 2.8374 4.9014 7.7651
Dy 2.8374 4.2053 1.9222
Dy 2.8374 2.1847 5.0560
Dy 2.8374 0.6725 2.1739
Dy 2.8374 -0.6725 6.9936
Dy 2.8374 -2.1847 0.2363
Dy 2.8374 -4.2053 6.7419
Dy 2.8374 -4.9014 2.9455
Dy 2.8374 -10.4247 0.0000
Ho 2.8374 6.6675 4.8169
Ho 2.8374 -6.6675 9.6366
Er 2.8374 8.2452 7.8279
Er 2.8374 7.9593 1.8681
Er 2.8374 -7.9593 6.6877
Er 2.8374 -8.2452 3.0083
Th 2.8374 2.0385 8.7224
Th 2.8374 -2.0385 3.9027
```



10.
Entry from Alexandria: a relaxed DyHo5ErTh2 crystal (PBE).

Computed properties:
The value obtained for the total energy is -4.861 eV/atom. The formation enthalpy at 0 K is 0.349 eV/atom.

```
18
Lattice="-4.3540 4.3540 7.7274 4.3540 -4.3540 7.7274 4.3540 4.3540 -7.7274" Properties=species:S:1:pos:R:3 pbc="T T T"
Dy 0.0000 0.0000 3.8637
Dy 0.0000 0.0000 11.5911
Ho 0.0000 0.0000 0.0000
Ho 6.1918 1.8377 -2.1693
Ho 1.8377 2.5163 -2.1693
Ho 6.1918 1.8377 2.1693
Ho 1.8377 2.5163 2.1693
Ho 0.0000 0.0000 7.7274
Ho 2.5163 1.8377 5.5581
Ho -1.8377 2.5163 5.5581
Ho 2.5163 1.8377 9.8967
Ho -1.8377 2.5163 9.8967
Er 4.3540 0.0000 3.8637
Er 0.0000 4.3540 3.8637
Th 3.3123 1.0417 0.0000
Th 3.3123 -1.0417 7.7274
Th 1.0417 5.3957 0.0000
Th 1.0417 3.3123 7.7274
```



11.
Entry from Alexandria: a relaxed Dy2HoErTl2 crystal (PBE).

Computed properties:
The value obtained for the total energy is -4.112 eV/atom. The formation enthalpy at 0 K is -0.266 eV/atom.

```
12
Lattice="5.0767 0.0000 0.0000 0.0000 9.9389 0.0000 0.0000 0.0000 6.7976" Properties=species:S:1:pos:R:3 pbc="T T T"
Dy 0.0000 0.4184 0.0000
Dy 0.0000 9.5205 3.3988
Dy 2.5383 1.8631 1.9125
Dy 2.5383 8.0758 5.3113
Ho 2.5383 4.5537 6.1755
Ho 2.5383 5.3852 2.7767
Er 0.0000 3.1079 4.2578
Er 0.0000 6.8310 0.8590
Tl 0.0000 3.6592 1.1131
Tl 0.0000 6.2797 4.5119
Tl 2.5383 1.3466 5.0723
Tl 2.5383 8.5923 1.6735
```



12.
Entry from Alexandria: a relaxed DyHoErTl crystal (PBE).

Computed properties:
The value obtained for the total energy is -4.200 eV/atom. The formation enthalpy at 0 K is -0.173 eV/atom. For the energy above the most stable polymorph in this dataset, the calculation gives 0.0 meV per atom.

```
4
Lattice="4.8236 0.0000 0.0000 0.0000 4.8298 0.0000 0.0000 0.0000 4.8344" Properties=species:S:1:pos:R:3 pbc="T T T"
Dy 0.0000 0.0000 0.0000
Ho 2.4118 2.4149 0.0000
Er 2.4118 0.0000 2.4172
Tl 0.0000 2.4149 2.4172
```



13.
Entry from Alexandria: a relaxed DyHo2ErTl2 crystal (PBE).

Computed properties:
The value obtained for the total energy is -4.108 eV/atom. The formation enthalpy at 0 K is -0.265 eV/atom.

```
12
Lattice="5.0684 0.0000 0.0000 0.0000 9.9158 0.0000 0.0000 0.0000 6.8047" Properties=species:S:1:pos:R:3 pbc="T T T"
Dy 0.0000 0.4219 0.0000
Dy 0.0000 9.4939 3.4024
Ho 0.0000 3.1060 2.5553
Ho 0.0000 6.8098 5.9577
Ho 2.5342 4.5317 0.6290
Ho 2.5342 5.3840 4.0314
Er 2.5342 1.8719 4.8820
Er 2.5342 8.0438 1.4796
Tl 0.0000 3.6296 5.7027
Tl 0.0000 6.2862 2.3003
Tl 2.5342 1.3143 1.7427
Tl 2.5342 8.6015 5.1450
```



14.
Entry from Alexandria: a relaxed Dy2Ho6Er3Tl crystal (PBE).

Computed properties:
The value obtained for the total energy is -4.408 eV/atom. The formation enthalpy at 0 K is -0.014 eV/atom.

```
12
Lattice="3.0242 -5.2444 0.0000 3.0242 5.2444 0.0000 -2.0367 0.0000 11.4045" Properties=species:S:1:pos:R:3 pbc="T T T"
Dy 3.0242 3.5046 0.0000
Dy 3.0242 -3.5046 0.0000
Ho -0.0008 1.7306 8.5680
Ho 1.0165 0.0000 2.8543
Ho -0.0008 -1.7306 8.5680
Ho 4.0124 1.7306 2.8365
Ho 2.9951 0.0000 8.5502
Ho 4.0124 -1.7306 2.8365
Er -1.0184 0.0000 5.7023
Er 2.0058 1.7486 5.7023
Er 2.0058 -1.7486 5.7023
Tl 3.0242 0.0000 0.0000
```



15.
Entry from Alexandria: a relaxed Dy3Ho6Er2Tl crystal (PBE).

Computed properties:
The value obtained for the total energy is -4.408 eV/atom. The formation enthalpy at 0 K is -0.010 eV/atom.

```
12
Lattice="3.0323 -5.2578 0.0000 3.0323 5.2578 0.0000 -2.0476 0.0000 11.3880" Properties=species:S:1:pos:R:3 pbc="T T T"
Dy 0.0000 0.0000 0.0000
Dy 3.0323 1.7536 0.0000
Dy 3.0323 -1.7536 0.0000
Ho 1.0209 1.7352 2.8831
Ho -0.0094 0.0000 8.5245
Ho 1.0209 -1.7352 2.8831
Ho 2.9960 1.7352 8.5049
Ho 4.0264 0.0000 2.8636
Ho 2.9960 -1.7352 8.5049
Er 2.0085 3.5134 5.6940
Er 2.0085 -3.5134 5.6940
Tl 2.0085 0.0000 5.6940
```



16.
Entry from Alexandria: a relaxed DyHoEr2Tl4 crystal (PBE).

Computed properties:
The value obtained for the total energy is -3.793 eV/atom. The formation enthalpy at 0 K is -0.322 eV/atom.

```
8
Lattice="2.6722 1.5428 8.7459 -2.6722 1.5428 8.7459 0.0000 -3.0856 8.7459" Properties=species:S:1:pos:R:3 pbc="T T T"
Dy 0.0000 0.0000 0.0000
Ho 0.0000 0.0000 13.1189
Er 0.0000 0.0000 6.5563
Er 0.0000 0.0000 19.6814
Tl 0.0000 0.0000 3.2839
Tl 0.0000 0.0000 9.8440
Tl 0.0000 0.0000 16.3937
Tl 0.0000 0.0000 22.9539
```



17.
Entry from Alexandria: a relaxed Dy6Ho3Er2Tl crystal (PBE).

Computed properties:
The value obtained for the total energy is -4.414 eV/atom. The formation enthalpy at 0 K is -0.011 eV/atom.

```
12
Lattice="3.0362 -5.2675 0.0000 3.0362 5.2675 0.0000 -2.0503 0.0000 11.3993" Properties=species:S:1:pos:R:3 pbc="T T T"
Dy 0.9904 1.7382 2.8191
Dy -0.0321 0.0000 8.5594
Dy 0.9904 -1.7382 2.8191
Dy 3.0318 1.7382 8.5803
Dy 4.0543 0.0000 2.8399
Dy 3.0318 -1.7382 8.5803
Ho 2.0111 3.5088 5.6997
Ho 2.0111 0.0000 5.6997
Ho 2.0111 -3.5088 5.6997
Er 3.0362 1.7452 0.0000
Er 3.0362 -1.7452 0.0000
Tl 0.0000 0.0000 0.0000
```



18.
Entry from Alexandria: a relaxed DyHoEr2Tl2 crystal (PBE).

Computed properties:
The value obtained for the total energy is -4.103 eV/atom. The formation enthalpy at 0 K is -0.264 eV/atom.

```
12
Lattice="5.0631 0.0000 0.0000 0.0000 9.9171 0.0000 0.0000 0.0000 6.7868" Properties=species:S:1:pos:R:3 pbc="T T T"
Dy 0.0000 0.4171 0.0000
Dy 0.0000 9.5001 3.3934
Ho 2.5315 1.8748 4.8764
Ho 2.5315 8.0423 1.4830
Er 0.0000 3.1051 2.5524
Er 0.0000 6.8121 5.9458
Er 2.5315 4.5404 0.6338
Er 2.5315 5.3767 4.0272
Tl 0.0000 3.6492 5.6927
Tl 0.0000 6.2680 2.2993
Tl 2.5315 1.3306 1.7293
Tl 2.5315 8.5866 5.1227
```



19.
Entry from Alexandria: a relaxed DyHo2ErTl4 crystal (PBE).

Computed properties:
The value obtained for the total energy is -3.798 eV/atom. The formation enthalpy at 0 K is -0.325 eV/atom.

```
8
Lattice="2.6745 1.5441 8.7535 -2.6745 1.5441 8.7535 0.0000 -3.0883 8.7535" Properties=species:S:1:pos:R:3 pbc="T T T"
Dy 0.0000 0.0000 0.0000
Ho 0.0000 0.0000 6.5571
Ho 0.0000 0.0000 19.7033
Er 0.0000 0.0000 13.1302
Tl 0.0000 0.0000 3.2900
Tl 0.0000 0.0000 9.8553
Tl 0.0000 0.0000 16.4051
Tl 0.0000 0.0000 22.9704
```



20.
Entry from Alexandria: a relaxed DyHoErTl crystal (PBE).

Computed properties:
The value obtained for the total energy is -4.052 eV/atom. The formation enthalpy at 0 K is -0.024 eV/atom. For the energy above the most stable polymorph in this dataset, the calculation gives 148.9 meV per atom.

```
4
Lattice="0.0000 3.8480 3.8480 3.8480 0.0000 3.8480 3.8480 3.8480 0.0000" Properties=species:S:1:pos:R:3 pbc="T T T"
Dy 0.0000 0.0000 0.0000
Ho 3.8480 3.8480 3.8480
Er 1.9240 1.9240 1.9240
Tl 5.7720 5.7720 5.7720
```